Entry 1:
Here is Tb2HgOsC after structural relaxation from the Alexandria database. Energies are from PBE.

DOS(E_F) = 0.3912 states/eV per atom
total magnetic moment = 0.00 μB per formula unit
crystal system = tetragonal
energy relative to the elements = -0.425 eV/atom

```
data_Tb2HgOsC
_space_group_name_H-M_alt 'P 4/m m m'
_space_group_IT_number 123
_space_group_name_Hall '-P 4 2'
_cell_length_a 5.0654
_cell_length_b 5.0654
_cell_length_c 3.9233
_cell_angle_alpha 90.00
_cell_angle_beta 90.00
_cell_angle_gamma 90.00
loop_
_atom_site_label
_atom_site_fract_x
_atom_site_fract_y
_atom_site_fract_z
Tb1 0.0000 0.5000 0.0000
Hg1 0.0000 0.0000 0.5000
Os1 0.5000 0.5000 0.5000
C1 0.5000 0.5000 0.0000
```

Entry 2:
Here is Th8Hg3Os3C after structural relaxation from the Alexandria database. Energies are from PBE.

DOS(E_F) = 1.0521 states/eV per atom
total magnetic moment = 0.00 μB per formula unit
crystal system = monoclinic
energy relative to the elements = -0.209 eV/atom

```
data_Th8Hg3Os3C
_space_group_name_H-M_alt 'C 1 2/m 1'
_space_group_IT_number 12
_cell_length_a 14.0869
_cell_length_b 8.1408
_cell_length_c 9.1435
_cell_angle_alpha 90.00
_cell_angle_beta 120.91
_cell_angle_gamma 90.00
loop_
_space_group_symop_operation_xyz
'x,y,z'
'-x,-y,-z'
'-x,y,-z'
'x,-y,z'
'x+1/2,y+1/2,z'
'-x+1/2,-y+1/2,-z'
'-x+1/2,y+1/2,-z'
'x+1/2,-y+1/2,z'
loop_
_atom_site_label
_atom_site_fract_x
_atom_site_fract_y
_atom_site_fract_z
Th1 0.0153 0.2340 0.3114
Th2 0.2181 0.0000 0.6882
Th3 0.2328 0.5000 0.6989
Hg1 0.0000 0.0000 0.0000
Hg2 0.2500 0.2500 0.0000
Os1 0.0000 0.5000 0.5000
Os2 0.2500 0.2500 0.5000
C1 0.0000 0.0000 0.5000
```

Entry 3:
Here is Tm2HgOsC after structural relaxation from the Alexandria database. Energies are from PBE.

DOS(E_F) = 0.2889 states/eV per atom
total magnetic moment = 0.00 μB per formula unit
crystal system = tetragonal
energy relative to the elements = -0.461 eV/atom

```
data_Tm2HgOsC
_space_group_name_H-M_alt 'P 4/m m m'
_space_group_IT_number 123
_space_group_name_Hall '-P 4 2'
_cell_length_a 4.9310
_cell_length_b 4.9310
_cell_length_c 3.9207
_cell_angle_alpha 90.00
_cell_angle_beta 90.00
_cell_angle_gamma 90.00
loop_
_atom_site_label
_atom_site_fract_x
_atom_site_fract_y
_atom_site_fract_z
Tm1 0.0000 0.5000 0.0000
Hg1 0.0000 0.0000 0.5000
Os1 0.5000 0.5000 0.5000
C1 0.5000 0.5000 0.0000
```

Entry 4:
Here is Y2HgOsC after structural relaxation from the Alexandria database. Energies are from PBE.

DOS(E_F) = 0.8569 states/eV per atom
total magnetic moment = 0.00 μB per formula unit
crystal system = tetragonal
offset from the most stable computed form = 631 meV/atom
energy relative to the elements = 0.187 eV/atom

```
data_Y2HgOsC
_space_group_name_H-M_alt 'P 4/m m m'
_space_group_IT_number 123
_space_group_name_Hall '-P 4 2'
_cell_length_a 5.4867
_cell_length_b 5.4867
_cell_length_c 3.9305
_cell_angle_alpha 90.00
_cell_angle_beta 90.00
_cell_angle_gamma 90.00
loop_
_atom_site_label
_atom_site_fract_x
_atom_site_fract_y
_atom_site_fract_z
Y1 0.0000 0.5000 0.0000
Hg1 0.0000 0.0000 0.5000
Os1 0.5000 0.5000 0.0000
C1 0.5000 0.5000 0.5000
```

Entry 5:
Here is Y2HgOsC after structural relaxation from the Alexandria database. Energies are from PBE.

DOS(E_F) = 0.3330 states/eV per atom
total magnetic moment = 0.00 μB per formula unit
crystal system = tetragonal
offset from the most stable computed form = 0 meV/atom
energy relative to the elements = -0.445 eV/atom

```
data_Y2HgOsC
_space_group_name_H-M_alt 'P 4/m m m'
_space_group_IT_number 123
_space_group_name_Hall '-P 4 2'
_cell_length_a 5.0388
_cell_length_b 5.0388
_cell_length_c 3.9279
_cell_angle_alpha 90.00
_cell_angle_beta 90.00
_cell_angle_gamma 90.00
loop_
_atom_site_label
_atom_site_fract_x
_atom_site_fract_y
_atom_site_fract_z
Y1 0.0000 0.5000 0.0000
Hg1 0.0000 0.0000 0.5000
Os1 0.5000 0.5000 0.5000
C1 0.5000 0.5000 0.0000
```

Entry 6:
Here is ZnHgOs2C after structural relaxation from the Alexandria database. Energies are from PBE.

DOS(E_F) = 2.4484 states/eV per atom
total magnetic moment = 3.88 μB per formula unit
crystal system = tetragonal
energy relative to the elements = 3.630 eV/atom

```
data_ZnHgOs2C
_space_group_name_H-M_alt 'P 4/m m m'
_space_group_IT_number 123
_space_group_name_Hall '-P 4 2'
_cell_length_a 5.0978
_cell_length_b 5.0978
_cell_length_c 4.7703
_cell_angle_alpha 90.00
_cell_angle_beta 90.00
_cell_angle_gamma 90.00
loop_
_atom_site_label
_atom_site_fract_x
_atom_site_fract_y
_atom_site_fract_z
Zn1 0.0000 0.0000 0.0000
Hg1 0.0000 0.0000 0.5000
Os1 0.0000 0.5000 0.5000
C1 0.5000 0.5000 0.0000
```

Entry 7:
Here is Hg2PC after structural relaxation from the Alexandria database. Energies are from PBE.

DOS(E_F) = 0.8888 states/eV per atom
total magnetic moment = 0.00 μB per formula unit
crystal system = tetragonal
offset from the most stable computed form = 0 meV/atom
energy relative to the elements = 1.380 eV/atom

```
data_Hg2PC
_space_group_name_H-M_alt 'I -4 2 d'
_space_group_IT_number 122
_space_group_name_Hall 'I -4 2bw'
_cell_length_a 5.6600
_cell_length_b 5.6600
_cell_length_c 10.5950
_cell_angle_alpha 90.00
_cell_angle_beta 90.00
_cell_angle_gamma 90.00
loop_
_atom_site_label
_atom_site_fract_x
_atom_site_fract_y
_atom_site_fract_z
Hg1 0.1947 0.2500 0.1250
P1 0.0000 0.0000 0.5000
C1 0.0000 0.0000 0.0000
```

Entry 8:
Here is HgP2C after structural relaxation from the Alexandria database. Energies are from PBE.

DOS(E_F) = 0.0000 states/eV per atom
total magnetic moment = 0.00 μB per formula unit
crystal system = tetragonal
offset from the most stable computed form = 0 meV/atom
energy relative to the elements = 0.619 eV/atom

```
data_HgP2C
_space_group_name_H-M_alt 'I -4 2 d'
_space_group_IT_number 122
_space_group_name_Hall 'I -4 2bw'
_cell_length_a 5.4129
_cell_length_b 5.4129
_cell_length_c 8.9621
_cell_angle_alpha 90.00
_cell_angle_beta 90.00
_cell_angle_gamma 90.00
loop_
_atom_site_label
_atom_site_fract_x
_atom_site_fract_y
_atom_site_fract_z
Hg1 0.0000 0.0000 0.0000
P1 0.1550 0.2500 0.6250
C1 0.0000 0.0000 0.5000
```

Entry 9:
Here is HgPC2 after structural relaxation from the Alexandria database. Energies are from PBE.

DOS(E_F) = 0.4772 states/eV per atom
total magnetic moment = 0.00 μB per formula unit
crystal system = cubic
offset from the most stable computed form = 1690 meV/atom
energy relative to the elements = 2.694 eV/atom

```
data_HgPC2
_space_group_name_H-M_alt 'F m -3 m'
_space_group_IT_number 225
_space_group_name_Hall '-F 4 2 3'
_cell_length_a 5.8790
_cell_length_b 5.8790
_cell_length_c 5.8790
_cell_angle_alpha 90.00
_cell_angle_beta 90.00
_cell_angle_gamma 90.00
loop_
_atom_site_label
_atom_site_fract_x
_atom_site_fract_y
_atom_site_fract_z
Hg1 0.0000 0.0000 0.0000
P1 0.0000 0.0000 0.5000
C1 0.2500 0.2500 0.2500
```

Entry 10:
Here is HgP2C after structural relaxation from the Alexandria database. Energies are from PBE.

DOS(E_F) = 0.7856 states/eV per atom
total magnetic moment = 0.00 μB per formula unit
crystal system = cubic
offset from the most stable computed form = 1315 meV/atom
energy relative to the elements = 1.935 eV/atom

```
data_HgP2C
_space_group_name_H-M_alt 'F m -3 m'
_space_group_IT_number 225
_space_group_name_Hall '-F 4 2 3'
_cell_length_a 6.3207
_cell_length_b 6.3207
_cell_length_c 6.3207
_cell_angle_alpha 90.00
_cell_angle_beta 90.00
_cell_angle_gamma 90.00
loop_
_atom_site_label
_atom_site_fract_x
_atom_site_fract_y
_atom_site_fract_z
Hg1 0.0000 0.0000 0.0000
P1 0.2500 0.2500 0.2500
C1 0.0000 0.0000 0.5000
```

Entry 11:
Here is HgP3C after structural relaxation from the Alexandria database. Energies are from PBE.

DOS(E_F) = 0.7598 states/eV per atom
total magnetic moment = 0.00 μB per formula unit
crystal system = cubic
offset from the most stable computed form = 0 meV/atom
energy relative to the elements = 1.247 eV/atom

```
data_HgP3C
_space_group_name_H-M_alt 'P m -3 m'
_space_group_IT_number 221
_space_group_name_Hall '-P 4 2 3'
_cell_length_a 4.2161
_cell_length_b 4.2161
_cell_length_c 4.2161
_cell_angle_alpha 90.00
_cell_angle_beta 90.00
_cell_angle_gamma 90.00
loop_
_atom_site_label
_atom_site_fract_x
_atom_site_fract_y
_atom_site_fract_z
Hg1 0.0000 0.0000 0.0000
P1 0.0000 0.5000 0.5000
C1 0.5000 0.5000 0.5000
```

Entry 12:
Here is HgPC2 after structural relaxation from the Alexandria database. Energies are from PBE.

DOS(E_F) = 1.1693 states/eV per atom
total magnetic moment = 0.00 μB per formula unit
crystal system = tetragonal
offset from the most stable computed form = 0 meV/atom
energy relative to the elements = 1.004 eV/atom

```
data_HgPC2
_space_group_name_H-M_alt 'I -4 2 d'
_space_group_IT_number 122
_space_group_name_Hall 'I -4 2bw'
_cell_length_a 4.9308
_cell_length_b 4.9308
_cell_length_c 8.3168
_cell_angle_alpha 90.00
_cell_angle_beta 90.00
_cell_angle_gamma 90.00
loop_
_atom_site_label
_atom_site_fract_x
_atom_site_fract_y
_atom_site_fract_z
Hg1 0.0000 0.0000 0.0000
P1 0.0000 0.0000 0.5000
C1 0.1581 0.2500 0.6250
```